1.
Entry from Alexandria: a relaxed Li2Zn5Pd2 crystal (GGA-PBE).

The value obtained for the total DFT energy (no corrections) is -2.58 eV/atom. The calculated formation energy is -291 meV/atom.

Unit cell a=4.2351 b=4.2763 c=9.2912 alpha=77.28 beta=76.93 gamma=61.80
With the nearest neighbours (Å) after each atom.
Fractional coordinates of all 9 atoms:
Li: 0.2050 0.2178 0.4061  4 Zn 2.66-2.76, 1 Pd 2.71, 1 Li 2.90
Li: 0.7950 0.7822 0.5939  4 Zn 2.66-2.76, 1 Pd 2.71, 1 Li 2.90
Zn: 0.0000 0.0000 0.0000  2 Zn 2.58, 6 Pd 2.63-2.67
Zn: 0.0874 0.0781 0.7127  4 Zn 2.58-2.60, 4 Li 2.66-2.76, 1 Pd 2.89
Zn: 0.3970 0.3914 0.7939  3 Zn 2.58-2.60, 4 Pd 2.63-2.78
Zn: 0.6030 0.6086 0.2061  3 Zn 2.58-2.60, 4 Pd 2.63-2.78
Zn: 0.9126 0.9219 0.2873  4 Zn 2.58-2.60, 4 Li 2.66-2.76, 1 Pd 2.89
Pd: 0.3013 0.3033 0.1036  8 Zn 2.63-2.89, 1 Li 2.71
Pd: 0.6987 0.6967 0.8964  8 Zn 2.63-2.89, 1 Li 2.71

***

2.
Entry from Alexandria: a relaxed Li8Zn6Pd crystal (GGA-PBE).

The value obtained for the total DFT energy (no corrections) is -2.05 eV/atom. The calculated formation energy is -169 meV/atom.

Unit cell a=6.9920 b=6.9920 c=6.9920 alpha=57.92 beta=57.92 gamma=57.92
With the nearest neighbours (Å) after each atom.
Fractional coordinates of all 15 atoms:
Li: 0.0833 0.0833 0.0833  3 Li 2.56, 6 Zn 2.71-2.83
Li: 0.1645 0.3197 0.6330  5 Li 2.56-2.80, 2 Zn 2.62-2.77, 1 Pd 2.74
Li: 0.3197 0.6330 0.1645  5 Li 2.56-2.80, 2 Zn 2.62-2.77, 1 Pd 2.74
Li: 0.3670 0.8355 0.6803  5 Li 2.56-2.80, 2 Zn 2.62-2.77, 1 Pd 2.74
Li: 0.6330 0.1645 0.3197  5 Li 2.56-2.80, 2 Zn 2.62-2.77, 1 Pd 2.74
Li: 0.6803 0.3670 0.8355  5 Li 2.56-2.80, 2 Zn 2.62-2.77, 1 Pd 2.74
Li: 0.8355 0.6803 0.3670  5 Li 2.56-2.80, 2 Zn 2.62-2.77, 1 Pd 2.74
Li: 0.9167 0.9167 0.9167  3 Li 2.56, 6 Zn 2.71-2.83
Zn: 0.0351 0.7726 0.5652  5 Li 2.62-2.87, 3 Zn 2.63-2.76, 1 Pd 2.68
Zn: 0.2274 0.4348 0.9649  5 Li 2.62-2.87, 3 Zn 2.63-2.76, 1 Pd 2.68
Zn: 0.4348 0.9649 0.2274  5 Li 2.62-2.87, 3 Zn 2.63-2.76, 1 Pd 2.68
Zn: 0.5652 0.0351 0.7726  5 Li 2.62-2.87, 3 Zn 2.63-2.76, 1 Pd 2.68
Zn: 0.7726 0.5652 0.0351  5 Li 2.62-2.87, 3 Zn 2.63-2.76, 1 Pd 2.68
Zn: 0.9649 0.2274 0.4348  5 Li 2.62-2.87, 3 Zn 2.63-2.76, 1 Pd 2.68
Pd: 0.5000 0.5000 0.5000  6 Zn 2.68, 6 Li 2.74

***

3.
Entry from Alexandria: a relaxed Li4Zn4Pd3 crystal (GGA-PBE).

The value obtained for the total DFT energy (no corrections) is -2.98 eV/atom. The calculated formation energy is -401 meV/atom.

Unit cell a=2.7852 b=4.3544 c=13.0554 alpha=80.72 beta=89.16 gamma=89.65
With the nearest neighbours (Å) after each atom.
Fractional coordinates of all 11 atoms:
Li: 0.0119 0.3125 0.3731  2 Pd 2.61-2.62, 8 Zn 2.68-2.83, 2 Li 2.79
Li: 0.3806 0.9550 0.0874  1 Li 2.34, 1 Pd 2.53, 2 Zn 2.53-2.54
Li: 0.6194 0.0450 0.9126  1 Li 2.34, 1 Pd 2.53, 2 Zn 2.53-2.54
Li: 0.9881 0.6875 0.6269  2 Pd 2.61-2.62, 8 Zn 2.68-2.83, 2 Li 2.79
Zn: 0.4739 0.7789 0.4398  2 Pd 2.64-2.73, 4 Zn 2.68-2.79, 6 Li 2.68-2.82
Zn: 0.4961 0.5937 0.8157  4 Li 2.53-2.83, 5 Pd 2.71-2.83, 2 Zn 2.79
Zn: 0.5039 0.4063 0.1843  4 Li 2.53-2.83, 5 Pd 2.71-2.83, 2 Zn 2.79
Zn: 0.5261 0.2211 0.5602  2 Pd 2.64-2.73, 4 Zn 2.68-2.79, 6 Li 2.68-2.82
Pd: 0.0000 0.5000 0.0000  6 Li 2.67-2.97, 4 Zn 2.73-2.77, 2 Pd 2.79
Pd: 0.0471 0.1322 0.7382  4 Li 2.53-2.77, 5 Zn 2.64-2.83, 2 Pd 2.79
Pd: 0.9529 0.8678 0.2618  4 Li 2.53-2.77, 5 Zn 2.64-2.83, 2 Pd 2.79

***

4.
Entry from Alexandria: a relaxed Li3Zn5Pd2 crystal (GGA-PBE).

The value obtained for the total DFT energy (no corrections) is -2.44 eV/atom. The calculated formation energy is -185 meV/atom.

Unit cell a=8.6419 b=8.6419 c=8.6419 alpha=110.28 beta=79.50 gamma=146.67
With the nearest neighbours (Å) after each atom.
Fractional coordinates of all 20 atoms:
Li: 0.2024 0.0826 0.2850  4 Pd 2.71-2.92, 2 Zn 2.83-2.89, 2 Li 2.97
Li: 0.2500 0.2500 0.0000  2 Zn 2.41, 2 Li 2.48
Li: 0.2976 0.5826 0.8802  4 Pd 2.71-2.92, 2 Zn 2.83-2.89, 2 Li 2.97
Li: 0.7024 0.4174 0.1198  4 Pd 2.71-2.92, 2 Zn 2.83-2.89, 2 Li 2.97
Li: 0.7500 0.7500 0.0000  2 Zn 2.41, 2 Li 2.48
Li: 0.7976 0.9174 0.7150  4 Pd 2.71-2.92, 2 Zn 2.83-2.89, 2 Li 2.97
Zn: 0.1553 0.3619 0.5172  1 Pd 2.48, 4 Zn 2.68-2.77
Zn: 0.2500 0.0063 0.7563  1 Li 2.41, 5 Zn 2.48-2.68, 2 Pd 2.54
Zn: 0.2500 0.4937 0.2437  1 Li 2.41, 5 Zn 2.48-2.68, 2 Pd 2.54
Zn: 0.2500 0.7500 0.5000  8 Zn 2.48-2.77
Zn: 0.3447 0.8619 0.2066  1 Pd 2.48, 4 Zn 2.68-2.77
Zn: 0.6553 0.1381 0.7934  1 Pd 2.48, 4 Zn 2.68-2.77
Zn: 0.7500 0.2500 0.5000  8 Zn 2.48-2.77
Zn: 0.7500 0.5063 0.7563  1 Li 2.41, 5 Zn 2.48-2.68, 2 Pd 2.54
Zn: 0.7500 0.9937 0.2437  1 Li 2.41, 5 Zn 2.48-2.68, 2 Pd 2.54
Zn: 0.8447 0.6381 0.4828  1 Pd 2.48, 4 Zn 2.68-2.77
Pd: 0.1652 0.7912 0.9564  3 Zn 2.48-2.54, 1 Li 2.71
Pd: 0.3348 0.2912 0.6260  3 Zn 2.48-2.54, 1 Li 2.71
Pd: 0.6652 0.7088 0.3740  3 Zn 2.48-2.54, 1 Li 2.71
Pd: 0.8348 0.2088 0.0436  3 Zn 2.48-2.54, 1 Li 2.71

***

The records above give, respectively, magnetic moment values of 0.00; 0.00; 0.00; 0.00 μB/f.u..